Record 1
This record from the Alexandria database describes ZnHg2Pd8 after structural relaxation. The functional is GGA-PBE.

Output
SG   C2/m, No. 12
Fermi-level density of states   6.0 states/eV/f.u.
Excess energy over the best structure of this formula in the dataset   28 meV per atom
Total DFT energy (no corrections)   -45.21 eV per cell
Calculated formation energy   -0.16 eV per atom

POSCAR file:
```
ZnHg2Pd8
1.0
-3.345 2.391 -2.235
-3.358 -1.506 3.413
2.771 4.744 5.827
Zn Hg Pd
1 2 8
direct
0.500 0.000 0.000 Zn
0.854 0.814 0.708 Hg
0.146 0.186 0.292 Hg
0.415 0.573 0.830 Pd
0.668 0.884 0.336 Pd
0.766 0.352 0.533 Pd
0.044 0.738 0.089 Pd
0.234 0.648 0.467 Pd
0.332 0.116 0.664 Pd
0.585 0.427 0.170 Pd
0.956 0.262 0.911 Pd
```

Record 2
This record from the Alexandria database describes TcW2Cl after structural relaxation. The functional is GGA-PBE.

Output
SG   I4/mmm, No. 139
Fermi-level density of states   3.1 states/eV/f.u.
Excess energy over the best structure of this formula in the dataset   809 meV per atom
Uncorrected formation energy   1172 meV/atom
Total DFT energy (no corrections)   -33.43 eV per cell

POSCAR file:
```
TcW2Cl
1.0
5.172 -0.004 0.000
2.421 4.571 0.000
-3.796 -2.284 2.669
Cl Tc W
1 1 2
direct
0.250 0.750 0.500 Cl
0.750 0.250 0.500 Tc
0.000 0.000 0.000 W
0.500 0.500 0.000 W
```

Record 3
This record from the Alexandria database describes Nd2ErMg6 after structural relaxation. The functional is GGA-PBE.

Output
SG   P6/mmm, No. 191
Fermi-level density of states   5.7 states/eV/f.u.
Total DFT energy (no corrections)   -24.45 eV per cell
Calculated formation energy   -0.09 eV per atom

POSCAR file:
```
Nd2ErMg6
1.0
3.323 0.000 0.001
0.000 7.942 4.568
-0.001 0.016 9.162
Nd Er Mg
2 1 6
direct
0.000 0.333 0.333 Nd
0.000 0.667 0.667 Nd
0.000 0.000 0.000 Er
0.499 0.671 0.000 Mg
0.501 0.000 0.329 Mg
0.501 0.329 0.000 Mg
0.500 0.671 0.329 Mg
0.499 0.000 0.671 Mg
0.500 0.329 0.671 Mg
```

Record 4
This record from the Alexandria database describes ZrHgSe2 after structural relaxation. The functional is GGA-PBE.

Output
SG   Imm2, No. 44
Fermi-level density of states   0.6 states/eV/f.u.
Excess energy over the best structure of this formula in the dataset   189 meV per atom
Uncorrected formation energy   -802 meV/atom
Total DFT energy (no corrections)   -19.03 eV per cell

POSCAR file:
```
ZrHgSe2
1.0
9.787 0.136 -0.147
9.126 3.539 -0.147
0.751 0.146 3.620
Hg Se Zr
1 2 1
direct
0.201 0.201 0.299 Hg
0.009 0.009 0.991 Se
0.844 0.844 0.656 Se
0.446 0.446 0.554 Zr
```

Record 5
This record from the Alexandria database describes LiPr2URh6 after structural relaxation. The functional is GGA-PBE.

Output
SG   R-3m, No. 166
Fermi-level density of states   7.7 states/eV/f.u.
Total DFT energy (no corrections)   -70.56 eV per cell
Calculated formation energy   -0.37 eV per atom

POSCAR file:
```
LiPr2URh6
1.0
-3.016 -4.880 -2.058
-0.523 -2.443 6.554
-5.658 -1.136 1.962
Li Pr U Rh
1 2 1 6
direct
0.000 0.000 0.000 Li
0.234 0.701 0.533 Pr
0.766 0.299 0.467 Pr
0.500 0.500 0.000 U
0.288 0.802 0.955 Rh
0.757 0.802 0.955 Rh
0.243 0.198 0.514 Rh
0.712 0.198 0.045 Rh
0.243 0.198 0.045 Rh
0.757 0.802 0.486 Rh
```

Record 6
This record from the Alexandria database describes NaPHS2 after structural relaxation. The functional is GGA-PBE.

Output
SG   P4/mmm, No. 123
Fermi-level density of states   3.6 states/eV/f.u.
Excess energy over the best structure of this formula in the dataset   1250 meV per atom
Total DFT energy (no corrections)   -10.46 eV per cell

POSCAR file:
```
NaPHS2
1.0
5.236 0.000 0.000
0.000 5.236 0.000
0.000 0.000 5.419
P S H Na
1 2 1 1
direct
0.000 0.000 0.500 P
0.000 0.500 0.000 S
0.500 0.000 0.000 S
0.500 0.500 0.500 H
0.000 0.000 0.000 Na
```

Record 7
This record from the Alexandria database describes Co2TcNi6 after structural relaxation. The functional is GGA-PBE.

Output
SG   C2/c, No. 15
Fermi-level density of states   13.4 states/eV/f.u.
Total DFT energy (no corrections)   -116.30 eV per cell
Calculated formation energy   0.12 eV per atom

POSCAR file:
```
Co2TcNi6
1.0
-5.118 3.012 -1.850
-5.614 -2.875 1.602
-2.016 1.197 5.762
Co Tc Ni
4 2 12
direct
0.433 0.928 0.212 Co
0.788 0.572 0.567 Co
0.567 0.072 0.788 Co
0.212 0.428 0.433 Co
0.845 0.750 0.155 Tc
0.155 0.250 0.845 Tc
0.419 0.529 0.673 Ni
0.327 0.971 0.581 Ni
0.581 0.471 0.327 Ni
0.673 0.029 0.419 Ni
0.913 0.140 0.627 Ni
0.373 0.360 0.087 Ni
0.087 0.860 0.373 Ni
0.627 0.640 0.913 Ni
0.211 0.808 0.005 Ni
0.995 0.692 0.789 Ni
0.789 0.192 0.995 Ni
0.005 0.308 0.211 Ni
```

Record 8
This record from the Alexandria database describes CaTb2Pm6Y3 after structural relaxation. The functional is GGA-PBE.

Output
SG   C2/m, No. 12
Fermi-level density of states   13.7 states/eV/f.u.
Total DFT energy (no corrections)   -58.77 eV per cell
Calculated formation energy   0.03 eV per atom

POSCAR file:
```
CaTb2Pm6Y3
1.0
6.302 0.000 0.012
-3.149 5.459 0.012
-1.065 -1.844 11.745
Ca Tb Pm Y
1 2 6 3
direct
0.000 0.000 0.000 Ca
0.333 0.667 0.000 Tb
0.667 0.333 0.000 Tb
0.915 0.575 0.748 Pm
0.745 0.745 0.253 Pm
0.085 0.425 0.252 Pm
0.575 0.915 0.748 Pm
0.255 0.255 0.747 Pm
0.425 0.085 0.252 Pm
0.166 0.834 0.500 Y
0.834 0.166 0.500 Y
0.500 0.500 0.500 Y
```